No. 1
Crystalline MnNiP2 at its relaxed geometry. Source: Alexandria via LeMat-Bulk, functional PBE-GGA.

Cell lengths 3.1705, 3.1705, 4.6377 Å; angles 90.00, 90.00, 89.99 degrees
Closest atoms and distances in Å follow each position.
Element x y z (fractional)
Mn 0.0000 0.0000 0.4544  6 P 2.28-2.36
Ni 0.5000 0.5000 0.8033  6 P 2.29-2.35
P 0.0000 0.0000 0.9454  2 Mn 2.28-2.36, 4 Ni 2.34
P 0.5000 0.5000 0.2969  2 Ni 2.29-2.35, 4 Mn 2.36

For the calculated total energy, the calculation gives -27.3 eV for the cell shown. The calculation puts the spin magnetization at 1.0 μB/cell. As for the energy relative to the elements: -0.37 eV per atom.

=====

No. 2
Crystalline TmZn11Au at its relaxed geometry. Source: Alexandria via LeMat-Bulk, functional PBE-GGA.

Cell lengths 5.3038, 6.8309, 6.8256 Å; angles 81.13, 67.14, 66.61 degrees
Closest atoms and distances in Å follow each position.
Element x y z (fractional)
Tm 0.0000 0.0000 0.0000  18 Zn 3.14-3.42, 2 Au 3.39
Zn 0.2777 0.2118 0.2180  7 Zn 2.57-2.86, 1 Au 2.66
Zn 0.7223 0.7882 0.7820  7 Zn 2.57-2.86, 1 Au 2.66
Zn 0.5043 0.7882 0.2180  7 Zn 2.57-2.86, 1 Au 2.66
Zn 0.4957 0.2118 0.7820  7 Zn 2.57-2.86, 1 Au 2.66
Zn 0.3502 0.6491 0.6431  7 Zn 2.60-2.88, 1 Au 2.77
Zn 0.6498 0.3509 0.3569  7 Zn 2.60-2.88, 1 Au 2.77
Zn 0.0068 0.3509 0.6431  7 Zn 2.60-2.88, 1 Au 2.77
Zn 0.9932 0.6491 0.3569  7 Zn 2.60-2.88, 1 Au 2.77
Zn 0.0000 0.5000 0.0000  8 Zn 2.60-2.76, 2 Au 2.65
Zn 0.5000 0.0000 0.5000  10 Zn 2.57-2.74
Zn 0.0000 0.0000 0.5000  10 Zn 2.57-2.74
Au 0.5000 0.5000 0.0000  10 Zn 2.65-2.77

For the calculated total energy, the calculation gives -24.2 eV for the cell shown. The calculation puts the spin magnetization at 0.0 μB/cell. As for the energy relative to the elements: -0.18 eV per atom.

=====

No. 3
Crystalline Ba2NaTlPd at its relaxed geometry. Source: Alexandria via LeMat-Bulk, functional PBE-GGA.

Cell lengths 6.2262, 6.2262, 5.3925 Å; angles 90.00, 90.00, 90.00 degrees
Closest atoms and distances in Å follow each position.
Element x y z (fractional)
Na 0.5000 0.5000 0.5000  8 Ba 4.12, 4 Tl 4.40
Tl 0.0000 0.0000 0.5000  2 Pd 2.70
Ba 0.0000 0.5000 0.0000  2 Pd 3.11
Ba 0.5000 0.0000 0.0000  2 Pd 3.11
Pd 0.0000 0.0000 0.0000  2 Tl 2.70

The value obtained for the energy above the lowest structure with this stoichiometry is 0.00 eV per formula unit. For the calculated total energy, the calculation gives -14.1 eV for the cell shown. The calculation puts the spin magnetization at 0.0 μB/cell. As for the energy relative to the elements: -0.27 eV per atom.

=====

No. 4
Crystalline Fe2Rh5W at its relaxed geometry. Source: Alexandria via LeMat-Bulk, functional PBE-GGA.

Cell lengths 3.8756, 3.8756, 7.9051 Å; angles 104.19, 104.19, 90.00 degrees
Closest atoms and distances in Å follow each position.
Element x y z (fractional)
Fe 0.2514 0.2514 0.5028  8 Rh 2.64-2.67, 4 Fe 2.74
Fe 0.7486 0.7486 0.4972  8 Rh 2.64-2.67, 4 Fe 2.74
Rh 0.5000 0.5000 0.0000  8 Rh 2.71, 4 W 2.74
Rh 0.6273 0.1273 0.2546  4 Fe 2.64-2.67, 2 W 2.71, 6 Rh 2.71-2.74
Rh 0.1273 0.6273 0.2546  4 Fe 2.64-2.67, 6 Rh 2.71-2.74, 2 W 2.71
Rh 0.3727 0.8727 0.7454  4 Fe 2.64-2.67, 2 W 2.71, 6 Rh 2.71-2.74
Rh 0.8727 0.3727 0.7454  4 Fe 2.64-2.67, 6 Rh 2.71-2.74, 2 W 2.71
W 0.0000 0.0000 0.0000  12 Rh 2.71-2.74

For the calculated total energy, the calculation gives -67.8 eV for the cell shown. The calculation puts the spin magnetization at 6.3 μB/cell. As for the energy relative to the elements: -0.14 eV per atom.

=====

No. 5
Crystalline CsAlTl2F6 at its relaxed geometry. Source: Alexandria via LeMat-Bulk, functional PBE-GGA.

Cell lengths 6.0239, 7.0571, 9.2800 Å; angles 90.00, 90.59, 90.00 degrees
Closest atoms and distances in Å follow each position.
Element x y z (fractional)
Cs 0.5000 0.0000 0.0000  6 F 2.93-3.08
Cs 0.0000 0.5000 0.5000  6 F 2.93-3.08
Al 0.5000 0.0000 0.5000  6 F 1.85-1.86
Al 0.0000 0.5000 0.0000  6 F 1.85-1.86
Tl 0.0096 0.9709 0.2718  6 F 2.73-3.03
Tl 0.5096 0.5291 0.7718  6 F 2.73-3.03
Tl 0.9904 0.0291 0.7282  6 F 2.73-3.03
Tl 0.4904 0.4709 0.2282  6 F 2.73-3.03
F 0.2635 0.6365 0.0035  1 Al 1.86
F 0.7635 0.8635 0.5035  1 Al 1.86
F 0.7365 0.3635 0.9965  1 Al 1.86
F 0.2365 0.1365 0.4965  1 Al 1.86
F 0.3504 0.7976 0.4187  1 Al 1.85
F 0.8504 0.7024 0.9187  1 Al 1.85
F 0.6496 0.2024 0.5813  1 Al 1.85
F 0.1496 0.2976 0.0813  1 Al 1.85
F 0.9325 0.5884 0.1820  1 Al 1.85
F 0.4325 0.9116 0.6820  1 Al 1.85
F 0.0675 0.4116 0.8180  1 Al 1.85
F 0.5675 0.0884 0.3180  1 Al 1.85

For the calculated total energy, the calculation gives -95.7 eV for the cell shown. The calculation puts the spin magnetization at 0.0 μB/cell.

=====

No. 6
Crystalline LiSb2Pt at its relaxed geometry. Source: Alexandria via LeMat-Bulk, functional PBE-GGA.

Cell lengths 4.2625, 4.2625, 5.5349 Å; angles 90.00, 90.00, 59.98 degrees
Closest atoms and distances in Å follow each position.
Element x y z (fractional)
Li 0.6250 0.6250 0.2500  2 Pt 2.77, 6 Sb 2.92
Pt 0.6250 0.6250 0.7500  6 Sb 2.74, 2 Li 2.77
Sb 0.9582 0.9582 0.9668  3 Pt 2.74, 3 Li 2.92
Sb 0.2918 0.2918 0.5332  3 Pt 2.74, 3 Li 2.92

The value obtained for the energy above the lowest structure with this stoichiometry is 0.00 eV per formula unit. For the calculated total energy, the calculation gives -18.4 eV for the cell shown. The calculation puts the spin magnetization at 0.0 μB/cell.

=====

No. 7
Crystalline Ti2VFe3 at its relaxed geometry. Source: Alexandria via LeMat-Bulk, functional PBE-GGA.

Cell lengths 2.9251, 2.9251, 8.7824 Å; angles 90.00, 90.00, 90.00 degrees
Closest atoms and distances in Å follow each position.
Element x y z (fractional)
Ti 0.5000 0.5000 0.8314  8 Fe 2.54-2.56
Ti 0.5000 0.5000 0.1686  8 Fe 2.54-2.56
V 0.5000 0.5000 0.5000  8 Fe 2.50
Fe 0.0000 0.0000 0.0000  8 Ti 2.54
Fe 0.0000 0.0000 0.6589  4 V 2.50, 4 Ti 2.56, 1 Fe 2.79
Fe 0.0000 0.0000 0.3411  4 V 2.50, 4 Ti 2.56, 1 Fe 2.79

For the calculated total energy, the calculation gives -52.1 eV for the cell shown. The calculation puts the spin magnetization at 0.7 μB/cell. As for the energy relative to the elements: -0.31 eV per atom.

=====

No. 8
Crystalline K5Ca3Br12 at its relaxed geometry. Source: Alexandria via LeMat-Bulk, functional PBE-GGA.

Cell lengths 16.6975, 16.6975, 16.6975 Å; angles 109.47, 109.47, 109.47 degrees
Closest atoms and distances in Å follow each position.
Element x y z (fractional)
Ca 0.7500 0.3750 0.1250  4 Br 2.78
Ca 0.8750 0.7500 0.1250  4 Br 2.78
Ca 0.3750 0.7500 0.6250  4 Br 2.78
Ca 0.2500 0.1250 0.3750  4 Br 2.78
Ca 0.8750 0.1250 0.2500  4 Br 2.78
Ca 0.3750 0.6250 0.2500  4 Br 2.78
Ca 0.6250 0.3750 0.7500  4 Br 2.78
Ca 0.1250 0.8750 0.7500  4 Br 2.78
Ca 0.7500 0.8750 0.6250  4 Br 2.78
Ca 0.6250 0.2500 0.3750  4 Br 2.78
Ca 0.1250 0.2500 0.8750  4 Br 2.78
Ca 0.2500 0.6250 0.8750  4 Br 2.78
K 0.1250 0.3750 0.2500  4 Br 3.46
K 0.0000 0.5000 0.0000  6 Br 3.25
K 0.0000 0.0000 0.0000  6 Br 3.25
K 0.3750 0.2500 0.1250  4 Br 3.46
K 0.5000 0.0000 0.5000  6 Br 3.25
K 0.5000 0.5000 0.0000  6 Br 3.25
K 0.1250 0.7500 0.3750  4 Br 3.46
K 0.7500 0.1250 0.8750  4 Br 3.46
K 0.7500 0.6250 0.3750  4 Br 3.46
K 0.3750 0.1250 0.7500  4 Br 3.46
K 0.6250 0.8750 0.2500  4 Br 3.46
K 0.5000 0.5000 0.5000  6 Br 3.25
K 0.5000 0.0000 0.0000  6 Br 3.25
K 0.0000 0.0000 0.5000  6 Br 3.25
K 0.2500 0.3750 0.6250  4 Br 3.46
K 0.2500 0.8750 0.1250  4 Br 3.46
K 0.0000 0.5000 0.5000  6 Br 3.25
K 0.8750 0.2500 0.6250  4 Br 3.46
K 0.6250 0.7500 0.8750  4 Br 3.46
K 0.8750 0.6250 0.7500  4 Br 3.46
Br 0.6127 0.1829 0.9754  1 Ca 2.78
Br 0.3627 0.4754 0.2925  1 Ca 2.78
Br 0.0246 0.3171 0.3873  1 Ca 2.78
Br 0.4754 0.1127 0.1829  1 Ca 2.78
Br 0.4298 0.6127 0.6373  1 Ca 2.78
Br 0.0246 0.7075 0.1373  1 Ca 2.78
Br 0.3627 0.8873 0.5702  1 Ca 2.78
Br 0.2075 0.0702 0.1829  1 Ca 2.78
Br 0.7075 0.0246 0.6373  1 Ca 2.78
Br 0.6127 0.4298 0.1373  1 Ca 2.78
Br 0.8873 0.5246 0.3171  1 Ca 2.78
Br 0.8627 0.7925 0.9754  1 Ca 2.78
Br 0.1829 0.6127 0.4754  1 Ca 2.78
Br 0.3171 0.2925 0.9298  1 Ca 2.78
Br 0.9298 0.7925 0.3171  1 Ca 2.78
Br 0.5702 0.1829 0.7075  1 Ca 2.78
Br 0.9298 0.1373 0.1127  1 Ca 2.78
Br 0.5246 0.6373 0.2075  1 Ca 2.78
Br 0.8627 0.0702 0.3873  1 Ca 2.78
Br 0.1829 0.5702 0.2075  1 Ca 2.78
Br 0.3171 0.0246 0.8873  1 Ca 2.78
Br 0.7075 0.6829 0.5702  1 Ca 2.78
Br 0.7925 0.8627 0.4754  1 Ca 2.78
Br 0.8873 0.3627 0.0702  1 Ca 2.78
Br 0.2925 0.3171 0.4298  1 Ca 2.78
Br 0.2075 0.1373 0.5246  1 Ca 2.78
Br 0.1127 0.6373 0.9298  1 Ca 2.78
Br 0.1373 0.9298 0.6127  1 Ca 2.78
Br 0.6829 0.9754 0.1127  1 Ca 2.78
Br 0.8171 0.4298 0.7925  1 Ca 2.78
Br 0.4754 0.3627 0.7925  1 Ca 2.78
Br 0.4298 0.8171 0.2925  1 Ca 2.78
Br 0.0702 0.8627 0.8873  1 Ca 2.78
Br 0.0702 0.2075 0.6829  1 Ca 2.78
Br 0.8171 0.3873 0.5246  1 Ca 2.78
Br 0.1373 0.2075 0.0246  1 Ca 2.78
Br 0.6829 0.7075 0.0702  1 Ca 2.78
Br 0.2925 0.9754 0.3627  1 Ca 2.78
Br 0.3873 0.5702 0.8627  1 Ca 2.78
Br 0.1127 0.4754 0.6829  1 Ca 2.78
Br 0.7925 0.9298 0.8171  1 Ca 2.78
Br 0.6373 0.1127 0.4298  1 Ca 2.78
Br 0.5246 0.8873 0.8171  1 Ca 2.78
Br 0.9754 0.2925 0.8627  1 Ca 2.78
Br 0.5702 0.3873 0.3627  1 Ca 2.78
Br 0.9754 0.6829 0.6127  1 Ca 2.78
Br 0.6373 0.5246 0.7075  1 Ca 2.78
Br 0.3873 0.8171 0.0246  1 Ca 2.78

For the calculated total energy, the calculation gives -256.6 eV for the cell shown. The calculation puts the spin magnetization at 4.1 μB/cell.

=====

No. 9
Crystalline LaMoOs2Rh at its relaxed geometry. Source: Alexandria via LeMat-Bulk, functional PBE-GGA.

Cell lengths 4.7569, 4.7869, 4.7569 Å; angles 90.00, 90.00, 90.00 degrees
Closest atoms and distances in Å follow each position.
Element x y z (fractional)
Rh 0.0000 0.5000 0.0000  2 Mo 2.39
Mo 0.0000 0.0000 0.0000  4 Os 2.38, 2 Rh 2.39
Os 0.0000 0.0000 0.5000  2 Mo 2.38
Os 0.5000 0.0000 0.0000  2 Mo 2.38
La 0.5000 0.5000 0.5000  4 Rh 3.36, 8 Os 3.37

For the calculated total energy, the calculation gives -41.6 eV for the cell shown. The calculation puts the spin magnetization at 0.0 μB/cell. As for the energy relative to the elements: 0.78 eV per atom.